1.
A geometry-optimized K2Hg3Au structure, computed with GGA-PBE.

a b c (Å): 4.036 5.187 9.008
angles (deg): 90.00 90.00 90.00
Fractional positions:
K 0.000 0.000 0.000
K 0.000 0.500 0.473
Hg 0.500 0.000 0.640
Hg 0.500 0.500 0.160
Hg 0.500 0.500 0.819
Au 0.500 0.000 0.316

Properties
crystal system = orthorhombic
space group = Pmm2, No. 25
formation enthalpy at 0 K = -261 meV per atom
energy above the lowest structure with this stoichiometry = 21 meV/atom

***

2.
A geometry-optimized Ti2HS structure, computed with GGA-PBE.

a b c (Å): 6.088 6.088 6.088
angles (deg): 30.47 30.47 30.47
Fractional positions:
Ti 0.000 0.000 0.000
Ti 0.151 0.151 0.151
H 0.754 0.754 0.754
S 0.576 0.576 0.576

Properties
crystal system = trigonal
space group = R3m, No. 160
energy above the lowest structure with this stoichiometry = 324 meV/atom